1.
First-principles (PBE) data for a relaxed structure of U6CoC5, as listed in the Alexandria database. Values from VASP.

Structure (Quantum ESPRESSO input):
```
&SYSTEM
  ibrav = 0, nat = 24, ntyp = 3
/
ATOMIC_SPECIES
C 12.01 C.upf
U 238.03 U.upf
Co 58.93 Co.upf
CELL_PARAMETERS angstrom
6.264 0.000 0.000
-3.132 5.425 0.000
0.000 0.000 10.988
ATOMIC_POSITIONS crystal
C 0.672 0.000 0.750
U 0.000 0.353 0.881
U 0.647 0.000 0.381
C 0.333 0.667 0.000
U 0.353 0.353 0.119
U 0.647 0.000 0.119
U 0.000 0.353 0.619
C 0.328 0.328 0.750
C 0.328 0.000 0.250
U 0.647 0.647 0.619
U 0.353 0.353 0.381
C 0.672 0.672 0.250
C 0.000 0.672 0.750
C 0.667 0.333 0.000
Co 0.000 0.000 0.750
U 0.000 0.647 0.119
C 0.667 0.333 0.500
Co 0.000 0.000 0.250
C 0.333 0.667 0.500
U 0.353 0.000 0.619
U 0.647 0.647 0.881
U 0.353 0.000 0.881
C 0.000 0.328 0.250
U 0.000 0.647 0.381
```

Values from the calculation:
Energy relative to the elements (eV/f.u.): 0.6
Magnetic moment (μB per cell): 9.83
E (eV per cell): -240.62
Symmetry: P6_3/mcm, No. 193

2.
First-principles (PBE) data for a relaxed structure of CdTeRhI2, as listed in the Alexandria database. Values from VASP.

Structure (Quantum ESPRESSO input):
```
&SYSTEM
  ibrav = 0, nat = 5, ntyp = 4
/
ATOMIC_SPECIES
Rh 102.91 Rh.upf
Cd 112.41 Cd.upf
Te 127.60 Te.upf
I 126.90 I.upf
CELL_PARAMETERS angstrom
-2.654 3.769 3.089
1.775 -2.529 4.610
4.212 2.963 0.004
ATOMIC_POSITIONS crystal
Rh 0.000 0.000 0.000
Cd 0.500 0.500 0.500
Te 0.000 0.000 0.500
I 0.500 0.000 0.000
I 0.000 0.500 0.000
```

Values from the calculation:
Magnetic moment (μB per cell): 0.00
ΔE to the lowest computed polymorph (meV/atom): 0
E (eV per cell): -13.73
Formation energy (no corrections) (meV/atom): 155
Symmetry: P4/mmm, No. 123

3.
First-principles (PBE) data for a relaxed structure of Zr2BiS, as listed in the Alexandria database. Values from VASP.

Structure (Quantum ESPRESSO input):
```
&SYSTEM
  ibrav = 0, nat = 4, ntyp = 3
/
ATOMIC_SPECIES
Bi 208.98 Bi.upf
Zr 91.22 Zr.upf
S 32.06 S.upf
CELL_PARAMETERS angstrom
0.000 3.483 3.483
3.483 0.000 3.483
3.483 3.483 0.000
ATOMIC_POSITIONS crystal
Bi 0.500 0.500 0.500
Zr 0.250 0.250 0.250
S 0.000 0.000 0.000
Zr 0.750 0.750 0.750
```

Values from the calculation:
Magnetic moment (μB per cell): 0.00
ΔE to the lowest computed polymorph (meV/atom): 334
E (eV per cell): -27.41
Formation energy (no corrections) (meV/atom): -577
Symmetry: Fm-3m, No. 225

Repeat the second record exactly.
First-principles (PBE) data for a relaxed structure of CdTeRhI2, as listed in the Alexandria database. Values from VASP.

Structure (Quantum ESPRESSO input):
```
&SYSTEM
  ibrav = 0, nat = 5, ntyp = 4
/
ATOMIC_SPECIES
Rh 102.91 Rh.upf
Cd 112.41 Cd.upf
Te 127.60 Te.upf
I 126.90 I.upf
CELL_PARAMETERS angstrom
-2.654 3.769 3.089
1.775 -2.529 4.610
4.212 2.963 0.004
ATOMIC_POSITIONS crystal
Rh 0.000 0.000 0.000
Cd 0.500 0.500 0.500
Te 0.000 0.000 0.500
I 0.500 0.000 0.000
I 0.000 0.500 0.000
```

Values from the calculation:
Magnetic moment (μB per cell): 0.00
ΔE to the lowest computed polymorph (meV/atom): 0
E (eV per cell): -13.73
Formation energy (no corrections) (meV/atom): 155
Symmetry: P4/mmm, No. 123

> What is the formula in the third record?

Zr2BiS

> What is the magnetic moment in the second record?

0.00 μB per cell

What did the third record say?
First-principles (PBE) data for a relaxed structure of Zr2BiS, as listed in the Alexandria database. Values from VASP.

Structure (Quantum ESPRESSO input):
```
&SYSTEM
  ibrav = 0, nat = 4, ntyp = 3
/
ATOMIC_SPECIES
Bi 208.98 Bi.upf
Zr 91.22 Zr.upf
S 32.06 S.upf
CELL_PARAMETERS angstrom
0.000 3.483 3.483
3.483 0.000 3.483
3.483 3.483 0.000
ATOMIC_POSITIONS crystal
Bi 0.500 0.500 0.500
Zr 0.250 0.250 0.250
S 0.000 0.000 0.000
Zr 0.750 0.750 0.750
```

Values from the calculation:
Magnetic moment (μB per cell): 0.00
ΔE to the lowest computed polymorph (meV/atom): 334
E (eV per cell): -27.41
Formation energy (no corrections) (meV/atom): -577
Symmetry: Fm-3m, No. 225